Compound: KCaSi2Au4
Source: the Alexandria database
Functional: GGA-PBE
Structure: relaxed

a = 4.6371 Å, b = 4.6371 Å, c = 9.3829 Å
α = 90.00°, β = 90.00°, γ = 90.00°
With the nearest neighbours (Å) after each atom.
Fractional coordinates of all 8 atoms:
K  0.0000  0.0000  0.5000  8 Au 3.50, 8 Si 3.76
Ca  0.0000  0.0000  0.0000  8 Au 3.11
Si  0.5000  0.5000  0.3048  4 Au 2.45
Si  0.5000  0.5000  0.6952  4 Au 2.45
Au  0.0000  0.5000  0.2210  2 Si 2.45
Au  0.5000  0.0000  0.7790  2 Si 2.45
Au  0.5000  0.0000  0.2210  2 Si 2.45
Au  0.0000  0.5000  0.7790  2 Si 2.45

Summary:
Its formation energy from raw total energies is -0.28 eV per atom. Its volume is 201.76 Å³/f.u. The calculation puts the electronic total energy at -3.66 eV per atom.



Compound: LiLu2Ag
Source: the Alexandria database
Functional: GGA-PBE
Structure: relaxed

a = 3.2972 Å, b = 3.2972 Å, c = 11.2254 Å
α = 81.55°, β = 81.55°, γ = 60.00°
With the nearest neighbours (Å) after each atom.
Fractional coordinates of all 4 atoms:
Lu  0.0942  0.0942  0.7174  3 Ag 3.07, 1 Li 3.13, 6 Lu 3.30
Lu  0.9058  0.9058  0.2826  3 Ag 3.07, 1 Li 3.13, 6 Lu 3.30
Ag  0.5000  0.5000  0.5000  6 Lu 3.07, 6 Ag 3.30
Li  0.0000  0.0000  0.0000  2 Lu 3.13, 6 Li 3.30

Summary:
Its volume is 104.15 Å³/f.u. For the offset from the most stable computed form, the calculation gives 293 meV/atom. Its formation energy is 0.18 eV/atom. The calculation puts the electronic total energy at -3.27 eV per atom.